Computed, not measured: a geometry-optimized Fe2TcAs8 structure at the PBE-GGA level of DFT.

Unit cell a=6.6452 b=6.6452 c=5.0700 alpha=92.49 beta=92.49 gamma=65.03
Fractional coordinates of all 11 atoms:
Fe 0.2440 0.2440 0.2890
Fe 0.7560 0.7560 0.7110
Tc 0.0000 0.0000 0.5000
As 0.1078 0.1078 0.9376
As 0.1363 0.5816 0.5815
As 0.3872 0.3872 0.9789
As 0.4184 0.8637 0.4185
As 0.5816 0.1363 0.5815
As 0.6128 0.6128 0.0211
As 0.8637 0.4184 0.4185
As 0.8922 0.8922 0.0624

## Properties
space group: C2/m, No. 12
ΔE_f: 40 kJ/mol of formula units

***

Computed, not measured: a geometry-optimized TlZnAs structure at the PBE-GGA level of DFT.

Unit cell a=6.4017 b=6.4017 c=6.4017 alpha=147.40 beta=147.40 gamma=46.77
Fractional coordinates of all 3 atoms:
Tl 0.0000 0.0000 0.0000
Zn 0.2612 0.2612 0.0000
As 0.7174 0.7174 0.0000

## Properties
space group: I4mm, No. 107
ΔE_f: 41 kJ/mol of formula units

***

Computed, not measured: a geometry-optimized Ac4EuIn structure at the PBE-GGA level of DFT.

Unit cell a=7.2210 b=7.2210 c=7.2210 alpha=60.00 beta=60.00 gamma=60.00
Fractional coordinates of all 6 atoms:
Ac 0.1240 0.1240 0.1240
Ac 0.1240 0.1240 0.6279
Ac 0.1240 0.6279 0.1240
Ac 0.6279 0.1240 0.1240
Eu 0.5000 0.5000 0.5000
In 0.7500 0.7500 0.7500

## Properties
space group: F-43m, No. 216
ΔE_f: 148 kJ/mol of formula units

***

Computed, not measured: a geometry-optimized Zr2GaH structure at the PBE-GGA level of DFT.

Unit cell a=4.5606 b=4.5606 c=4.5606 alpha=60.00 beta=60.00 gamma=60.00
Fractional coordinates of all 4 atoms:
Zr 0.2500 0.2500 0.2500
Zr 0.7500 0.7500 0.7500
Ga 0.0000 0.0000 0.0000
H 0.5000 0.5000 0.5000

## Properties
space group: Fm-3m, No. 225
excess energy over the best structure of this formula in the dataset: 0.419 eV per atom

***

Computed, not measured: a geometry-optimized Li2Nd2YGe2 structure at the PBE-GGA level of DFT.

Unit cell a=9.9978 b=9.9978 c=9.9978 alpha=25.68 beta=25.68 gamma=25.68
Fractional coordinates of all 7 atoms:
Li 0.1103 0.1103 0.1103
Li 0.8897 0.8897 0.8897
Nd 0.3769 0.3769 0.3769
Nd 0.6231 0.6231 0.6231
Y 0.5000 0.5000 0.5000
Ge 0.2285 0.2285 0.2285
Ge 0.7715 0.7715 0.7715

## Properties
space group: R-3m, No. 166
ΔE_f: -335 kJ/mol of formula units

***

Computed, not measured: a geometry-optimized SiS structure at the PBE-GGA level of DFT.

Unit cell a=6.7577 b=6.3659 c=5.4341 alpha=69.36 beta=61.83 gamma=48.81
Fractional coordinates of all 8 atoms:
Si 0.1069 0.6431 0.6431
Si 0.3569 0.8931 0.8931
Si 0.6431 0.1069 0.1069
Si 0.8931 0.3569 0.3569
S 0.0794 0.6706 0.0794
S 0.3294 0.9206 0.3294
S 0.6706 0.0794 0.6706
S 0.9206 0.3294 0.9206

## Properties
space group: Fddd, No. 70
total energy: -0.3475 Ry per atom

***

Computed, not measured: a geometry-optimized Sm5Hg2IrRh2 structure at the PBE-GGA level of DFT.

Unit cell a=11.6906 b=11.6906 c=3.6579 alpha=90.00 beta=90.00 gamma=90.00
Fractional coordinates of all 20 atoms:
Sm 0.0000 0.5000 0.0000
Sm 0.0795 0.1908 0.0000
Sm 0.1908 0.9205 0.0000
Sm 0.3092 0.4205 0.0000
Sm 0.4205 0.6908 0.0000
Sm 0.5000 0.0000 0.0000
Sm 0.5795 0.3092 0.0000
Sm 0.6908 0.5795 0.0000
Sm 0.8092 0.0795 0.0000
Sm 0.9205 0.8092 0.0000
Hg 0.1737 0.6737 0.5000
Hg 0.3263 0.1737 0.5000
Hg 0.6737 0.8263 0.5000
Hg 0.8263 0.3263 0.5000
Ir 0.0000 0.0000 0.5000
Ir 0.5000 0.5000 0.5000
Rh 0.1330 0.3670 0.5000
Rh 0.3670 0.8670 0.5000
Rh 0.6330 0.1330 0.5000
Rh 0.8670 0.6330 0.5000

## Properties
space group: P4/mbm, No. 127
ΔE_f: -538 kJ/mol of formula units

***

Computed, not measured: a geometry-optimized AsC2I2 structure at the PBE-GGA level of DFT.

Unit cell a=5.7303 b=5.7303 c=5.7303 alpha=104.04 beta=104.04 gamma=120.99
Fractional coordinates of all 5 atoms:
As 0.0000 0.0000 0.0000
C 0.3857 0.3857 0.0000
C 0.6143 0.6143 0.0000
I 0.2500 0.7500 0.5000
I 0.7500 0.2500 0.5000

## Properties
space group: I4/mmm, No. 139
excess energy over the best structure of this formula in the dataset: 0.000 eV per atom

***

Computed, not measured: a geometry-optimized K2ReBr structure at the PBE-GGA level of DFT.

Unit cell a=12.2743 b=12.2743 c=5.8176 alpha=103.68 beta=103.68 gamma=17.52
Fractional coordinates of all 8 atoms:
K 0.0616 0.0616 0.3111
K 0.1787 0.1787 0.9277
K 0.8213 0.8213 0.0723
K 0.9384 0.9384 0.6889
Re 0.2794 0.2794 0.5303
Re 0.7206 0.7206 0.4697
Br 0.4406 0.4406 0.1910
Br 0.5594 0.5594 0.8090

## Properties
space group: C2/m, No. 12
excess energy over the best structure of this formula in the dataset: 0.000 eV per atom

***

Computed, not measured: a geometry-optimized Ta2AlW6 structure at the PBE-GGA level of DFT.

Unit cell a=4.5525 b=5.2752 c=6.9702 alpha=70.53 beta=70.96 gamma=89.92
Fractional coordinates of all 9 atoms:
Ta 0.1121 0.0675 0.2756
Ta 0.8879 0.9325 0.7244
Al 0.0000 0.5000 0.5000
W 0.2254 0.6211 0.0500
W 0.3348 0.1731 0.8299
W 0.4443 0.7217 0.6108
W 0.5557 0.2783 0.3892
W 0.6652 0.8269 0.1701
W 0.7746 0.3789 0.9500

## Properties
space group: P-1, No. 2
ΔE_f: -8 kJ/mol of formula units

***

Computed, not measured: a geometry-optimized Nd4Ga2S structure at the PBE-GGA level of DFT.

Unit cell a=6.5869 b=6.5869 c=8.7699 alpha=122.45 beta=122.45 gamma=38.09
Fractional coordinates of all 7 atoms:
Nd 0.0843 0.0843 0.3730
Nd 0.3253 0.3253 0.9136
Nd 0.6747 0.6747 0.0864
Nd 0.9157 0.9157 0.6270
Ga 0.3826 0.3826 0.3372
Ga 0.6174 0.6174 0.6628
S 0.0000 0.0000 0.0000

## Properties
space group: C2/m, No. 12
total energy: -0.3730 Ry per atom

***

Computed, not measured: a geometry-optimized Pm6TlGe2S3 structure at the PBE-GGA level of DFT.

Unit cell a=9.4902 b=9.4902 c=8.4842 alpha=106.31 beta=106.31 gamma=25.42
Fractional coordinates of all 12 atoms:
Pm 0.0046 0.0046 0.2277
Pm 0.3255 0.3255 0.4184
Pm 0.3322 0.3322 0.9223
Pm 0.6678 0.6678 0.0777
Pm 0.6745 0.6745 0.5816
Pm 0.9954 0.9954 0.7723
Tl 0.5000 0.5000 0.5000
Ge 0.1631 0.1631 0.8237
Ge 0.8369 0.8369 0.1763
S 0.1675 0.1675 0.3282
S 0.5000 0.5000 0.0000
S 0.8325 0.8325 0.6718

## Properties
space group: C2/m, No. 12
total energy: -0.4197 Ry per atom

***

Number 1: D(E_F) 7.3 states/eV per cell. Number 2: D(E_F) 1.7 states/eV per cell. Number 3: D(E_F) 16.4 states/eV per cell. Number 4: D(E_F) 2.5 states/eV per cell. Number 5: D(E_F) 3.8 states/eV per cell. Number 6: D(E_F) 0.3 states/eV per cell. Number 7: D(E_F) 15.5 states/eV per cell. Number 8: D(E_F) 2.6 states/eV per cell. Number 9: D(E_F) 3.4 states/eV per cell. Number 10: D(E_F) 7.0 states/eV per cell. Number 11: D(E_F) 7.3 states/eV per cell. Number 12: D(E_F) 5.1 states/eV per cell.